A relaxed structure of Er2FeC2. Source: the Open Quantum Materials Database, functional GGA-PBE.

Output
Electronic total energy, eV per atom: -7.488

Cell and atoms, written as POSCAR:
```
Er2FeC2
1.0
5.387 -2.482 0.000
5.387 2.482 0.000
-3.419 0.000 5.647
Er Fe C
4 2 4
Direct
0.041 0.041 0.282
0.318 0.318 0.889
0.682 0.682 0.111
0.959 0.959 0.718
0.371 0.371 0.369
0.629 0.629 0.631
0.183 0.183 0.107
0.484 0.484 0.703
0.516 0.516 0.297
0.817 0.817 0.893
```

***

A relaxed structure of HoErFe2Ge2C. Source: the Open Quantum Materials Database, functional GGA-PBE.

Output
Electronic total energy, eV per atom: -6.930

Cell and atoms, written as POSCAR:
```
HoErFe2Ge2C
1.0
10.650 0.000 0.000
0.000 3.949 0.000
-4.232 0.000 5.291
Ho Er Fe Ge C
2 2 4 4 2
Direct
0.000 0.000 0.000
0.500 0.500 0.000
0.385 0.500 0.423
0.885 0.000 0.423
0.138 0.500 0.801
0.246 0.000 0.621
0.638 0.000 0.801
0.746 0.500 0.621
0.104 0.500 0.419
0.280 0.000 0.004
0.604 0.000 0.419
0.780 0.500 0.004
0.442 0.000 0.710
0.942 0.500 0.710
```

***

A relaxed structure of NdErFe2Ge2C. Source: the Open Quantum Materials Database, functional GGA-PBE.

Output
Electronic total energy, eV per atom: -6.919

Cell and atoms, written as POSCAR:
```
NdErFe2Ge2C
1.0
10.786 0.000 0.000
0.000 4.006 0.000
-4.345 0.000 5.379
Nd Er Fe Ge C
2 2 4 4 2
Direct
0.000 0.000 0.000
0.500 0.500 0.000
0.385 0.500 0.420
0.885 0.000 0.420
0.133 0.500 0.790
0.244 0.000 0.615
0.633 0.000 0.790
0.744 0.500 0.615
0.106 0.500 0.423
0.275 0.000 0.991
0.606 0.000 0.423
0.775 0.500 0.991
0.436 0.000 0.694
0.936 0.500 0.694
```

***

A relaxed structure of PrErFe2Ge2C. Source: the Open Quantum Materials Database, functional GGA-PBE.

Output
Electronic total energy, eV per atom: -6.907

Cell and atoms, written as POSCAR:
```
PrErFe2Ge2C
1.0
10.816 0.000 0.000
0.000 4.021 0.000
-4.365 0.000 5.402
Pr Er Fe Ge C
2 2 4 4 2
Direct
0.000 0.000 0.000
0.500 0.500 0.000
0.115 0.000 0.581
0.615 0.500 0.581
0.256 0.500 0.387
0.368 0.000 0.212
0.756 0.000 0.387
0.868 0.500 0.212
0.226 0.500 0.012
0.394 0.000 0.577
0.726 0.000 0.012
0.894 0.500 0.577
0.065 0.500 0.310
0.565 0.000 0.310
```

***

A relaxed structure of Er2Fe2SiGeC. Source: the Open Quantum Materials Database, functional GGA-PBE.

Output
Electronic total energy, eV per atom: -7.087

Cell and atoms, written as POSCAR:
```
Er2Fe2SiGeC
1.0
10.565 0.000 0.000
0.000 3.923 0.000
-4.219 0.000 5.222
Er Fe Si Ge C
4 4 2 2 2
Direct
0.000 0.000 0.000
0.117 0.000 0.582
0.500 0.500 0.000
0.617 0.500 0.582
0.254 0.500 0.377
0.355 0.000 0.189
0.754 0.000 0.377
0.855 0.500 0.189
0.223 0.500 0.006
0.723 0.000 0.006
0.400 0.000 0.586
0.900 0.500 0.586
0.056 0.500 0.288
0.556 0.000 0.288
```

***

A relaxed structure of ErTmFe2Ge2C. Source: the Open Quantum Materials Database, functional GGA-PBE.

Output
Electronic total energy, eV per atom: -6.913

Cell and atoms, written as POSCAR:
```
ErTmFe2Ge2C
1.0
10.607 0.000 0.000
0.000 3.939 0.000
-4.192 0.000 5.280
Er Tm Fe Ge C
2 2 4 4 2
Direct
0.000 0.000 0.000
0.500 0.500 0.000
0.386 0.500 0.424
0.886 0.000 0.424
0.139 0.500 0.802
0.246 0.000 0.621
0.639 0.000 0.802
0.746 0.500 0.621
0.104 0.500 0.417
0.281 0.000 0.006
0.604 0.000 0.417
0.781 0.500 0.006
0.442 0.000 0.710
0.942 0.500 0.710
```

***

A relaxed structure of HoErFe2Sn2C. Source: the Open Quantum Materials Database, functional GGA-PBE.

Output
Electronic total energy, eV per atom: -6.524

Cell and atoms, written as POSCAR:
```
HoErFe2Sn2C
1.0
11.203 0.000 0.000
0.000 4.054 0.000
-4.302 0.000 5.712
Ho Er Fe Sn C
2 2 4 4 2
Direct
0.000 0.000 0.000
0.500 0.500 0.000
0.414 0.500 0.476
0.914 0.000 0.476
0.138 0.500 0.810
0.276 0.000 0.665
0.638 0.000 0.810
0.776 0.500 0.665
0.123 0.500 0.436
0.291 0.000 0.039
0.623 0.000 0.436
0.791 0.500 0.039
0.457 0.000 0.737
0.957 0.500 0.737
```

***

A relaxed structure of Er2FeIr4C4. Source: the Open Quantum Materials Database, functional GGA-PBE.

Output
Electronic total energy, eV per atom: -7.994

Cell and atoms, written as POSCAR:
```
Er2FeIr4C4
1.0
0.000 4.797 5.485
2.688 0.000 5.485
2.688 4.797 0.000
Er Fe Ir C
2 1 4 4
Direct
0.149 0.149 0.851
0.851 0.851 0.149
0.500 0.500 0.500
0.000 0.000 0.500
0.250 0.250 0.250
0.500 0.500 0.000
0.750 0.750 0.750
0.228 0.515 0.485
0.485 0.772 0.228
0.515 0.228 0.772
0.772 0.485 0.515
```

***

A relaxed structure of YErFe2Sn2C. Source: the Open Quantum Materials Database, functional GGA-PBE.

Output
Electronic total energy, eV per atom: -6.800

Cell and atoms, written as POSCAR:
```
YErFe2Sn2C
1.0
11.189 0.000 0.000
0.000 4.075 0.000
-4.329 0.000 5.716
Y Er Fe Sn C
2 2 4 4 2
Direct
0.000 0.000 0.000
0.500 0.500 0.000
0.088 0.000 0.528
0.588 0.500 0.528
0.227 0.500 0.341
0.364 0.000 0.194
0.727 0.000 0.341
0.864 0.500 0.194
0.210 0.500 0.965
0.380 0.000 0.567
0.710 0.000 0.965
0.880 0.500 0.567
0.046 0.500 0.269
0.546 0.000 0.269
```

***

A relaxed structure of HoErGaC. Source: the Open Quantum Materials Database, functional GGA-PBE.

Output
Electronic total energy, eV per atom: -5.722

Cell and atoms, written as POSCAR:
```
HoErGaC
1.0
3.545 0.000 0.000
-1.773 3.070 0.000
0.000 0.000 15.418
Ho Er Ga C
2 2 2 2
Direct
0.333 0.667 0.088
0.667 0.333 0.912
0.333 0.667 0.413
0.667 0.333 0.587
0.333 0.667 0.749
0.667 0.333 0.251
0.000 0.000 0.000
0.000 0.000 0.500
```

***

A relaxed structure of HoErGaC. Source: the Open Quantum Materials Database, functional GGA-PBE.

Output
Electronic total energy, eV per atom: -5.722

Cell and atoms, written as POSCAR:
```
HoErGaC
1.0
3.545 0.000 0.000
-1.773 3.070 0.000
0.000 0.000 15.422
Ho Er Ga C
2 2 2 2
Direct
0.000 0.000 0.163
0.000 0.000 0.837
0.333 0.667 0.338
0.333 0.667 0.662
0.000 0.000 0.500
0.333 0.667 0.000
0.667 0.333 0.251
0.667 0.333 0.749
```

***

A relaxed structure of Ho3ErGa2C2. Source: the Open Quantum Materials Database, functional GGA-PBE.

Output
Electronic total energy, eV per atom: -5.718

Cell and atoms, written as POSCAR:
```
Ho3ErGa2C2
1.0
3.550 0.000 0.000
-1.775 3.074 0.000
0.000 0.000 15.449
Ho Er Ga C
3 1 2 2
Direct
0.000 0.000 0.000
0.000 0.000 0.326
0.333 0.667 0.824
0.333 0.667 0.500
0.000 0.000 0.662
0.333 0.667 0.163
0.667 0.333 0.413
0.667 0.333 0.912
```

***

A relaxed structure of Er4GaC2S. Source: the Open Quantum Materials Database, functional GGA-PBE.

Output
Electronic total energy, eV per atom: -6.311

Cell and atoms, written as POSCAR:
```
Er4GaC2S
1.0
3.610 0.000 0.000
-1.805 3.126 0.000
0.000 0.000 14.058
Er Ga C S
4 1 2 1
Direct
0.000 0.000 0.133
0.000 0.000 0.867
0.333 0.667 0.322
0.333 0.667 0.678
0.000 0.000 0.500
0.667 0.333 0.228
0.667 0.333 0.772
0.333 0.667 0.000
```

***

A relaxed structure of Er4GaSnC2. Source: the Open Quantum Materials Database, functional GGA-PBE.

Output
Electronic total energy, eV per atom: -5.950

Cell and atoms, written as POSCAR:
```
Er4GaSnC2
1.0
3.561 0.000 0.000
-1.781 3.084 0.000
0.000 0.000 15.581
Er Ga Sn C
4 1 1 2
Direct
0.000 0.000 0.160
0.000 0.000 0.840
0.667 0.333 0.331
0.667 0.333 0.669
0.667 0.333 0.000
0.000 0.000 0.500
0.333 0.667 0.248
0.333 0.667 0.752
```

***

A relaxed structure of ErTmGaC. Source: the Open Quantum Materials Database, functional GGA-PBE.

Output
Electronic total energy, eV per atom: -5.718

Cell and atoms, written as POSCAR:
```
ErTmGaC
1.0
3.524 0.000 0.000
-1.762 3.052 0.000
0.000 0.000 15.360
Er Tm Ga C
2 2 2 2
Direct
0.000 0.000 0.163
0.000 0.000 0.837
0.333 0.667 0.338
0.333 0.667 0.662
0.000 0.000 0.500
0.333 0.667 0.000
0.667 0.333 0.251
0.667 0.333 0.749
```

***

A relaxed structure of ErTmGaC. Source: the Open Quantum Materials Database, functional GGA-PBE.

Output
Electronic total energy, eV per atom: -5.717

Cell and atoms, written as POSCAR:
```
ErTmGaC
1.0
3.523 0.000 0.000
-1.761 3.051 0.000
0.000 0.000 15.380
Er Tm Ga C
2 2 2 2
Direct
0.333 0.667 0.088
0.667 0.333 0.912
0.333 0.667 0.413
0.667 0.333 0.587
0.333 0.667 0.749
0.667 0.333 0.251
0.000 0.000 0.000
0.000 0.000 0.500
```

***

A relaxed structure of ErTm3Ga2C2. Source: the Open Quantum Materials Database, functional GGA-PBE.

Output
Electronic total energy, eV per atom: -5.711

Cell and atoms, written as POSCAR:
```
ErTm3Ga2C2
1.0
3.517 0.000 0.000
-1.758 3.045 0.000
0.000 0.000 15.364
Er Tm Ga C
1 3 2 2
Direct
0.000 0.000 0.000
0.000 0.000 0.674
0.333 0.667 0.175
0.333 0.667 0.500
0.000 0.000 0.337
0.333 0.667 0.836
0.667 0.333 0.087
0.667 0.333 0.587
```

***

A relaxed structure of GdEr3C. Source: the Open Quantum Materials Database, functional GGA-PBE.

Output
Electronic total energy, eV per atom: -5.541

Cell and atoms, written as POSCAR:
```
GdEr3C
1.0
4.997 0.000 0.000
0.000 4.997 0.000
0.000 0.000 4.997
Gd Er C
1 3 1
Direct
0.000 0.000 0.000
0.000 0.500 0.500
0.500 0.000 0.500
0.500 0.500 0.000
0.500 0.500 0.500
```

***

A relaxed structure of GdErGe2Mo2C. Source: the Open Quantum Materials Database, functional GGA-PBE.

Output
Electronic total energy, eV per atom: -7.602

Cell and atoms, written as POSCAR:
```
GdErGe2Mo2C
1.0
11.189 0.000 0.000
0.000 3.831 0.000
-4.055 0.000 5.970
Gd Er Ge Mo C
2 2 4 4 2
Direct
0.000 0.000 0.000
0.500 0.500 0.000
0.144 0.000 0.579
0.644 0.500 0.579
0.209 0.500 0.950
0.436 0.000 0.630
0.709 0.000 0.950
0.936 0.500 0.630
0.276 0.500 0.370
0.370 0.000 0.213
0.776 0.000 0.370
0.870 0.500 0.213
0.074 0.500 0.295
0.574 0.000 0.295
```

***

A relaxed structure of GdErC2I2. Source: the Open Quantum Materials Database, functional GGA-PBE.

Output
Electronic total energy, eV per atom: -5.978

Cell and atoms, written as POSCAR:
```
GdErC2I2
1.0
7.322 0.000 0.000
0.000 3.898 0.000
-0.654 0.000 11.243
Gd Er C I
2 2 4 4
Direct
0.000 0.000 0.000
0.500 0.500 0.000
0.291 0.000 0.244
0.791 0.500 0.244
0.067 0.500 0.154
0.222 0.500 0.098
0.567 0.000 0.154
0.722 0.000 0.098
0.320 0.000 0.810
0.468 0.500 0.429
0.820 0.500 0.810
0.968 0.000 0.429
```

***

A relaxed structure of GdErIr2C3. Source: the Open Quantum Materials Database, functional GGA-PBE.

Output
Electronic total energy, eV per atom: -7.927

Cell and atoms, written as POSCAR:
```
GdErIr2C3
1.0
11.411 0.000 0.000
0.000 3.460 0.000
-1.342 0.000 5.095
Gd Er Ir C
2 2 4 6
Direct
0.000 0.000 0.000
0.500 0.500 0.000
0.249 0.000 0.638
0.749 0.500 0.638
0.256 0.500 0.151
0.491 0.000 0.487
0.756 0.000 0.151
0.991 0.500 0.487
0.126 0.500 0.330
0.349 0.000 0.112
0.395 0.500 0.522
0.626 0.000 0.330
0.849 0.500 0.112
0.895 0.000 0.522
```

***

A relaxed structure of GdErSi2Mo2C. Source: the Open Quantum Materials Database, functional GGA-PBE.

Output
Electronic total energy, eV per atom: -7.877

Cell and atoms, written as POSCAR:
```
GdErSi2Mo2C
1.0
11.146 0.000 0.000
0.000 3.813 0.000
-4.165 0.000 5.810
Gd Er Si Mo C
2 2 4 4 2
Direct
0.000 0.000 0.000
0.500 0.500 0.000
0.150 0.000 0.591
0.650 0.500 0.591
0.207 0.500 0.960
0.444 0.000 0.632
0.707 0.000 0.960
0.944 0.500 0.632
0.282 0.500 0.382
0.370 0.000 0.214
0.782 0.000 0.382
0.870 0.500 0.214
0.077 0.500 0.301
0.577 0.000 0.301
```

***

A relaxed structure of GdErP2C4. Source: the Open Quantum Materials Database, functional GGA-PBE.

Output
Electronic total energy, eV per atom: -6.469

Cell and atoms, written as POSCAR:
```
GdErP2C4
1.0
3.776 0.000 0.000
-1.888 3.270 0.000
0.000 0.000 8.510
Gd Er P C
1 1 2 4
Direct
0.000 0.000 0.000
0.000 0.000 0.500
0.333 0.667 0.749
0.667 0.333 0.251
0.333 0.667 0.169
0.333 0.667 0.340
0.667 0.333 0.660
0.667 0.333 0.831
```

***

A relaxed structure of Gd3ErPb2C2. Source: the Open Quantum Materials Database, functional GGA-PBE.

Output
Electronic total energy, eV per atom: -6.012

Cell and atoms, written as POSCAR:
```
Gd3ErPb2C2
1.0
3.657 0.000 0.000
-1.828 3.167 0.000
0.000 0.000 16.286
Gd Er Pb C
3 1 2 2
Direct
0.000 0.000 0.000
0.000 0.000 0.335
0.667 0.333 0.833
0.667 0.333 0.499
0.000 0.000 0.664
0.667 0.333 0.168
0.333 0.667 0.419
0.333 0.667 0.916
```

***

A relaxed structure of GdEr3Pb2C2. Source: the Open Quantum Materials Database, functional GGA-PBE.

Output
Electronic total energy, eV per atom: -6.029

Cell and atoms, written as POSCAR:
```
GdEr3Pb2C2
1.0
3.625 0.000 0.000
-1.812 3.139 0.000
0.000 0.000 16.065
Gd Er Pb C
1 3 2 2
Direct
0.000 0.000 0.000
0.000 0.000 0.664
0.667 0.333 0.167
0.667 0.333 0.501
0.000 0.000 0.334
0.667 0.333 0.830
0.333 0.667 0.085
0.333 0.667 0.582
```